Entry 1:
First-principles (PBE) data for a relaxed HfTa2SnAs crystal, as listed in Alexandria via LeMat-Bulk.

formation energy	1.402	eV/atom
density of states at the Fermi level	5.6	states/eV/f.u.
size of the total moment	0.00	μB/f.u.

Cell and atoms, written as POSCAR:
```
HfTa2SnAs
1.0
5.094 0.000 0.000
0.000 5.094 0.000
0.000 0.000 4.894
Hf Ta Sn As
1 2 1 1
Direct
0.000 0.000 0.000
0.000 0.500 0.000
0.500 0.000 0.000
0.500 0.500 0.500
0.000 0.000 0.500
```



Entry 2:
First-principles (PBE) data for a relaxed HfZr2SnAs crystal, as listed in Alexandria via LeMat-Bulk.

formation energy	1.044	eV/atom
density of states at the Fermi level	8.2	states/eV/f.u.
size of the total moment	0.00	μB/f.u.

Cell and atoms, written as POSCAR:
```
HfZr2SnAs
1.0
5.311 0.000 0.000
0.000 5.311 0.000
0.000 0.000 5.062
Hf Zr Sn As
1 2 1 1
Direct
0.000 0.000 0.000
0.000 0.500 0.500
0.500 0.000 0.500
0.500 0.500 0.500
0.500 0.500 0.000
```



Entry 3:
First-principles (PBE) data for a relaxed SrHf2As2 crystal, as listed in Alexandria via LeMat-Bulk.

formation energy	-0.791	eV/atom
density of states at the Fermi level	3.5	states/eV/f.u.
size of the total moment	0.00	μB/f.u.

Cell and atoms, written as POSCAR:
```
SrHf2As2
1.0
4.280 0.000 0.000
0.000 4.280 0.000
0.000 0.000 13.237
Sr Hf As
2 4 4
Direct
0.000 0.000 0.000
0.500 0.500 0.500
0.000 0.500 0.250
0.000 0.500 0.750
0.500 0.000 0.250
0.500 0.000 0.750
0.000 0.000 0.379
0.000 0.000 0.621
0.500 0.500 0.121
0.500 0.500 0.879
```



Entry 4:
First-principles (PBE) data for a relaxed SrHf3As crystal, as listed in Alexandria via LeMat-Bulk.

formation energy	2.123	eV/atom
density of states at the Fermi level	7.5	states/eV/f.u.
size of the total moment	0.00	μB/f.u.

Cell and atoms, written as POSCAR:
```
SrHf3As
1.0
5.133 0.000 0.000
0.000 5.133 0.000
0.000 0.000 5.133
Sr Hf As
1 3 1
Direct
0.000 0.000 0.000
0.000 0.000 0.500
0.000 0.500 0.000
0.500 0.000 0.000
0.500 0.500 0.500
```



Question: density of states at the Fermi level of number 2 (HfZr2SnAs)?
Answer: 8.2 states/eV/f.u.



Question: Number 1 is which compound?
Answer: HfTa2SnAs



Copy entry 2 word for word.
First-principles (PBE) data for a relaxed HfZr2SnAs crystal, as listed in Alexandria via LeMat-Bulk.

formation energy	1.044	eV/atom
density of states at the Fermi level	8.2	states/eV/f.u.
size of the total moment	0.00	μB/f.u.

Cell and atoms, written as POSCAR:
```
HfZr2SnAs
1.0
5.311 0.000 0.000
0.000 5.311 0.000
0.000 0.000 5.062
Hf Zr Sn As
1 2 1 1
Direct
0.000 0.000 0.000
0.000 0.500 0.500
0.500 0.000 0.500
0.500 0.500 0.500
0.500 0.500 0.000
```



Question: Which of these has the highest formation energy?
Answer: SrHf3As